1.
This record from the Alexandria database describes a relaxed ZrScCuMo crystal. The functional is PBE.

abc: 4.6613 4.6613 4.6613
angles: 60.00 60.00 60.00
Closest atoms and distances in Å follow each position.
Element x y z (fractional)
Zr  0.0000  0.0000  0.0000  4 Cu 2.85, 4 Mo 2.85
Sc  0.5000  0.5000  0.5000  4 Cu 2.85, 4 Mo 2.85
Cu  0.7500  0.7500  0.7500  4 Zr 2.85, 4 Sc 2.85
Mo  0.2500  0.2500  0.2500  4 Zr 2.85, 4 Sc 2.85

Results
The value obtained for the formation enthalpy at 0 K is -0.03 eV/atom.


2.
This record from the Alexandria database describes a relaxed SmSiSe3 crystal. The functional is PBE.

abc: 8.0202 6.6323 9.1746
angles: 90.00 90.00 90.00
Closest atoms and distances in Å follow each position.
Element x y z (fractional)
Sm  0.1147  0.0336  0.0000  8 Se 3.00-3.21
Sm  0.3853  0.5336  0.5000  8 Se 3.00-3.21
Sm  0.6147  0.4664  0.0000  8 Se 3.00-3.21
Sm  0.8853  0.9664  0.5000  8 Se 3.00-3.21
Si  0.0711  0.5261  0.2302  4 Se 2.34-2.53
Si  0.4289  0.0261  0.7302  4 Se 2.34-2.53
Si  0.5711  0.9739  0.2302  4 Se 2.34-2.53
Si  0.9289  0.4739  0.7302  4 Se 2.34-2.53
Se  0.0311  0.3897  0.4858  2 Si 2.45-2.53
Se  0.1722  0.8408  0.3043  1 Si 2.34
Se  0.1819  0.8391  0.6928  1 Si 2.36
Se  0.3181  0.3391  0.1928  1 Si 2.36
Se  0.3278  0.3408  0.8043  1 Si 2.34
Se  0.4689  0.8897  0.9858  2 Si 2.45-2.53
Se  0.5311  0.1103  0.4858  2 Si 2.45-2.53
Se  0.6722  0.6592  0.3043  1 Si 2.34
Se  0.6819  0.6609  0.6928  1 Si 2.36
Se  0.8181  0.1609  0.1928  1 Si 2.36
Se  0.8278  0.1592  0.8043  1 Si 2.34
Se  0.9689  0.6103  0.9858  2 Si 2.45-2.53

Results
For the energy relative to the elements, uncorrected, the calculation gives -94.7 kJ per mole of atoms.


3.
This record from the Alexandria database describes a relaxed Pm4Cu2N crystal. The functional is PBE.

abc: 7.7627 7.7627 7.7627
angles: 142.89 142.89 53.49
Closest atoms and distances in Å follow each position.
Element x y z (fractional)
Pm  0.0000  0.5000  0.5000  2 N 2.47
Pm  0.1814  0.1814  0.0000  1 N 2.51, 1 Cu 2.79
Pm  0.5000  0.0000  0.5000  2 N 2.47
Pm  0.8186  0.8186  0.0000  1 N 2.51, 1 Cu 2.79
Cu  0.3825  0.3825  0.0000  5 Pm 2.79-2.96
Cu  0.6175  0.6175  0.0000  5 Pm 2.79-2.96
N  0.0000  0.0000  0.0000  6 Pm 2.47-2.51

Results
For the energy relative to the elements, uncorrected, the calculation gives -40.2 kJ per mole of atoms.


4.
This record from the Alexandria database describes a relaxed Sb3ClO4 crystal. The functional is PBE.

abc: 9.6574 5.5203 5.7325
angles: 90.00 94.90 90.00
Closest atoms and distances in Å follow each position.
Element x y z (fractional)
Sb  0.0000  0.1739  0.2500  4 O 2.07-2.28
Sb  0.0000  0.8261  0.7500  4 O 2.07-2.28
Sb  0.2932  0.3043  0.6971  3 O 2.00-2.10
Sb  0.2932  0.6957  0.1971  3 O 2.00-2.10
Sb  0.7068  0.3043  0.8029  3 O 2.00-2.10
Sb  0.7068  0.6957  0.3029  3 O 2.00-2.10
Cl  0.5000  0.2873  0.2500  2 Sb 3.01
Cl  0.5000  0.7127  0.7500  2 Sb 3.01
O  0.1201  0.0840  0.6000  3 Sb 2.07-2.28
O  0.1201  0.9160  0.1000  3 Sb 2.07-2.28
O  0.2020  0.4737  0.9520  2 Sb 2.00-2.01
O  0.2020  0.5263  0.4520  2 Sb 2.00-2.01
O  0.7980  0.4737  0.5480  2 Sb 2.00-2.01
O  0.7980  0.5263  0.0480  2 Sb 2.00-2.01
O  0.8799  0.0840  0.9000  3 Sb 2.07-2.28
O  0.8799  0.9160  0.4000  3 Sb 2.07-2.28

Results
For the energy relative to the elements, uncorrected, the calculation gives -123.9 kJ per mole of atoms.


5.
This record from the Alexandria database describes a relaxed Ti3NbPd crystal. The functional is PBE.

abc: 4.7047 4.7047 4.7047
angles: 90.00 90.00 90.00
Closest atoms and distances in Å follow each position.
Element x y z (fractional)
Ti  0.0000  0.0000  0.5000  2 Nb 2.35
Ti  0.0000  0.5000  0.0000  2 Nb 2.35
Ti  0.5000  0.0000  0.0000  2 Nb 2.35
Nb  0.0000  0.0000  0.0000  6 Ti 2.35
Pd  0.5000  0.5000  0.5000  12 Ti 3.33

Results
The value obtained for the formation enthalpy at 0 K is 0.94 eV/atom.


6.
This record from the Alexandria database describes a relaxed ReHg2Mo crystal. The functional is PBE.

abc: 3.2547 4.5782 4.8315
angles: 90.00 90.00 90.00
Closest atoms and distances in Å follow each position.
Element x y z (fractional)
Re  0.0000  0.0000  0.0000  4 Mo 2.81, 4 Hg 2.91
Hg  0.0000  0.5000  0.5000  4 Hg 2.81, 4 Mo 2.91
Hg  0.5000  0.0000  0.5000  4 Hg 2.81, 4 Re 2.91
Mo  0.5000  0.5000  0.0000  4 Re 2.81, 4 Hg 2.91

Results
The value obtained for the formation enthalpy at 0 K is 0.85 eV/atom.